No. 1
# TiSiTe2I (PBE, optimized geometry)
# energy = -3.58 eV per atom
# polymorph energy (0 for the lowest one) = 0.302 eV per atom
# formation energy without anion corrections = 652.2 meV per atom
data_TiSiTe2I
_cell_length_a 5.276
_cell_length_b 5.276
_cell_length_c 5.352
_cell_angle_alpha 90.00
_cell_angle_beta 90.00
_cell_angle_gamma 90.00
_space_group_name_H-M_alt 'P 4/m m m'
_space_group_IT_number 123
_space_group_name_Hall '-P 4 2'
loop_
_atom_site_label
_atom_site_type_symbol
_atom_site_fract_x
_atom_site_fract_y
_atom_site_fract_z
Ti1 Ti 0.000 0.000 0.000
Si1 Si 0.500 0.500 0.500
Te1 Te 0.000 0.500 0.500
I1 I 0.500 0.500 0.000

---

No. 2
# PmNd3Zn3 (PBE, optimized geometry)
# energy = -3.46 eV per atom
data_PmNd3Zn3
_cell_length_a 10.324
_cell_length_b 10.378
_cell_length_c 7.228
_cell_angle_alpha 90.00
_cell_angle_beta 90.00
_cell_angle_gamma 90.00
_space_group_name_H-M_alt 'C m m m'
_space_group_IT_number 65
_space_group_name_Hall '-C 2 2'
loop_
_atom_site_label
_atom_site_type_symbol
_atom_site_fract_x
_atom_site_fract_y
_atom_site_fract_z
Pm1 Pm 0.000 0.249 0.000
Nd1 Nd 0.000 0.249 0.500
Nd2 Nd 0.249 0.500 0.000
Nd3 Nd 0.249 0.500 0.500
Zn1 Zn 0.000 0.000 0.249
Zn2 Zn 0.250 0.250 0.248

---

No. 3
# CsAgBF6 (PBE, optimized geometry)
# energy = -4.70 eV per atom
# formation energy without anion corrections = -2296.1 meV per atom
data_CsAgBF6
_cell_length_a 5.482
_cell_length_b 5.490
_cell_length_c 6.301
_cell_angle_alpha 91.68
_cell_angle_beta 91.67
_cell_angle_gamma 118.71
_space_group_name_H-M_alt 'P 1'
_space_group_IT_number 1
loop_
_space_group_symop_operation_xyz
'x,y,z'
loop_
_atom_site_label
_atom_site_type_symbol
_atom_site_fract_x
_atom_site_fract_y
_atom_site_fract_z
Cs1 Cs 0.000 0.000 0.000
Ag1 Ag 0.293 0.710 0.500
B1 B 0.622 0.383 0.501
F1 F 0.142 0.555 0.203
F2 F 0.374 0.311 0.608
F3 F 0.445 0.865 0.797
F4 F 0.571 0.162 0.352
F5 F 0.699 0.633 0.396
F6 F 0.842 0.428 0.649

---

No. 4
# BaZnBr (PBE, optimized geometry)
# energy = -2.39 eV per atom
# polymorph energy (0 for the lowest one) = 0.319 eV per atom
# formation energy without anion corrections = -770.4 meV per atom
data_BaZnBr
_cell_length_a 4.245
_cell_length_b 4.245
_cell_length_c 12.851
_cell_angle_alpha 90.00
_cell_angle_beta 90.00
_cell_angle_gamma 90.00
_space_group_name_H-M_alt 'I 4 m m'
_space_group_IT_number 107
_space_group_name_Hall 'I 4 -2'
loop_
_atom_site_label
_atom_site_type_symbol
_atom_site_fract_x
_atom_site_fract_y
_atom_site_fract_z
Ba1 Ba 0.000 0.000 0.000
Zn1 Zn 0.000 0.000 0.650
Br1 Br 0.000 0.000 0.380

---

Which of these has the lowest energy?
CsAgBF6

---

Which of these has the lowest energy?
CsAgBF6

---

Which value of energy does entry 4 give?
-2.39 eV per atom

---

Which of these has the highest energy?
BaZnBr